Material: CuPd5I12
Method: DFT, PBE
State: optimized geometry

Structure (POSCAR):
```
CuPd5I12
1.0
4.8467 -5.8000 0.0000
4.8467 5.8000 0.0000
-3.8060 0.0000 13.2611
Cu Pd I
1 5 12
Direct
0.0000 0.0000 0.0000
0.1667 0.8333 0.5000
0.3324 0.6676 0.0000
0.5000 0.5000 0.5000
0.6676 0.3324 0.0000
0.8333 0.1667 0.5000
0.0156 0.0156 0.3743
0.0378 0.7067 0.8797
0.2933 0.9622 0.1203
0.3191 0.6523 0.6261
0.3477 0.6809 0.3739
0.3702 0.3702 0.8802
0.6298 0.6298 0.1198
0.6523 0.3191 0.6261
0.6809 0.3477 0.3739
0.7067 0.0378 0.8797
0.9622 0.2933 0.1203
0.9844 0.9844 0.6257
```



Material: Cu2PdI
Method: DFT, PBE
State: optimized geometry

Structure (POSCAR):
```
Cu2PdI
1.0
7.4036 0.0000 0.0000
0.0000 7.4036 0.0000
0.0000 0.0000 5.3817
Cu Pd I
8 4 4
Direct
0.2398 0.2500 0.1250
0.2500 0.7398 0.3750
0.2500 0.7602 0.8750
0.2602 0.2500 0.6250
0.7398 0.7500 0.6250
0.7500 0.2398 0.8750
0.7500 0.2602 0.3750
0.7602 0.7500 0.1250
0.0000 0.0000 0.0000
0.0000 0.5000 0.2500
0.5000 0.0000 0.7500
0.5000 0.5000 0.5000
0.0000 0.0000 0.5000
0.0000 0.5000 0.7500
0.5000 0.0000 0.2500
0.5000 0.5000 0.0000
```



Material: CuPdI2
Method: DFT, PBE
State: optimized geometry

Structure (POSCAR):
```
CuPdI2
1.0
4.3489 0.0000 0.0000
-2.1745 3.7663 0.0000
0.0000 0.0000 23.3404
Cu Pd I
3 3 6
Direct
0.0000 0.0000 0.0000
0.3333 0.6667 0.6667
0.6667 0.3333 0.3333
0.0000 0.0000 0.5000
0.3333 0.6667 0.1667
0.6667 0.3333 0.8333
0.0000 0.0000 0.1039
0.0000 0.0000 0.8961
0.3333 0.6667 0.5628
0.3333 0.6667 0.7706
0.6667 0.3333 0.2294
0.6667 0.3333 0.4372
```

Computed properties:
energy above the most stable polymorph in this dataset	146.0	meV per atom



Q: Which formation energy from raw total energies values were calculated for the entries above? A: -18, 40, 11, in kJ per mole of atoms.